This record from Alexandria describes a relaxed structure of LiPm2Co2. The functional is PBE.

Cell: 5.3450 5.5801 7.9346 Å, 104.45 90.00 118.62°
Closest atoms and distances in Å follow each position.
Positions (direct):
Li  0.8616  0.0000  0.2500  4 Co 2.68-2.72
Li  0.1384  0.0000  0.7500  4 Co 2.68-2.72
Pm  0.4795  0.2885  0.1445  6 Co 2.87-3.17, 1 Li 3.13
Pm  0.1909  0.7115  0.3555  6 Co 2.87-3.17, 1 Li 3.13
Pm  0.5205  0.7115  0.8555  6 Co 2.87-3.17, 1 Li 3.13
Pm  0.8091  0.2885  0.6445  6 Co 2.87-3.17, 1 Li 3.13
Co  0.6912  0.7037  0.4922  1 Co 2.25
Co  0.9875  0.2963  0.0078  1 Co 2.25
Co  0.3088  0.2963  0.5078  1 Co 2.25
Co  0.0125  0.7037  0.9922  1 Co 2.25

Summary:
**N(E_F)**: 0.77 states/eV per atom
**Offset from the most stable computed form**: 33.5 meV per atom
**Formation energy from the elements**: -1 kJ/mol of atoms



This record from Alexandria describes a relaxed structure of Pm5Pu3N8. The functional is PBE.

Cell: 7.1135 7.1135 7.0992 Å, 59.93 59.93 60.00°
Closest atoms and distances in Å follow each position.
Positions (direct):
Pm  0.5000  0.0000  0.0000  6 N 2.58-2.60
Pm  0.5000  0.5000  0.0000  6 N 2.58-2.60
Pm  0.0000  0.0000  0.0000  6 N 2.52
Pm  0.0000  0.5000  0.0000  6 N 2.58-2.60
Pm  0.5000  0.5000  0.5000  6 N 2.51
Pu  0.5000  0.0000  0.5000  6 N 2.43-2.45
Pu  0.0000  0.0000  0.5000  6 N 2.43-2.45
Pu  0.0000  0.5000  0.5000  6 N 2.43-2.45
N  0.2501  0.2501  0.7333  2 Pu 2.43, 4 Pm 2.51-2.60
N  0.2501  0.7664  0.7333  2 Pu 2.43, 4 Pm 2.51-2.60
N  0.7664  0.2501  0.7333  2 Pu 2.43, 4 Pm 2.51-2.60
N  0.7568  0.7568  0.7296  3 Pu 2.45, 3 Pm 2.58
N  0.7499  0.7499  0.2667  2 Pu 2.43, 4 Pm 2.51-2.60
N  0.7499  0.2336  0.2667  2 Pu 2.43, 4 Pm 2.51-2.60
N  0.2336  0.7499  0.2667  2 Pu 2.43, 4 Pm 2.51-2.60
N  0.2432  0.2432  0.2704  3 Pu 2.45, 3 Pm 2.58

Summary:
**Uncorrected formation energy**: -1.3736 eV/atom
**N(E_F)**: 1.31 states/eV per atom



This record from Alexandria describes a relaxed structure of Ba2TbAs2I2. The functional is PBE.

Cell: 5.5004 5.5004 9.7957 Å, 106.31 106.31 90.00°
Closest atoms and distances in Å follow each position.
Positions (direct):
Ba  0.3825  0.3825  0.7649  4 As 3.47, 1 I 3.61
Ba  0.6175  0.6175  0.2351  4 As 3.47, 1 I 3.61
Tb  0.0000  0.0000  0.0000  4 As 2.75
As  0.0000  0.5000  0.0000  2 Tb 2.75
As  0.5000  0.0000  0.0000  2 Tb 2.75
I  0.1817  0.1817  0.3634  1 Tb 3.27, 1 Ba 3.61
I  0.8183  0.8183  0.6366  1 Tb 3.27, 1 Ba 3.61

Summary:
**Uncorrected formation energy**: -1.3522 eV/atom
**N(E_F)**: 0.29 states/eV per atom